# 1
# GGA-PBE V2BiAsOs, optimized geometry
# DOS(E_F) = 12.06 states/eV per cell
# total moment = 0.619 μB/atom
# E_form = 1.437 eV/atom
# E = -6.162 eV/atom
data_V2BiAsOs
_space_group_name_H-M_alt 'P 1'
_space_group_IT_number 1
_cell_length_a 4.5312
_cell_length_b 5.3618
_cell_length_c 4.5312
_cell_angle_alpha 90.00
_cell_angle_beta 90.00
_cell_angle_gamma 90.00
loop_
_space_group_symop_operation_xyz
'x,y,z'
loop_
_atom_site_label
_atom_site_type_symbol
_atom_site_fract_x
_atom_site_fract_y
_atom_site_fract_z
Bi1 Bi 0.0000 0.5000 0.0000
V1 V 0.0000 0.0000 0.5000
V2 V 0.5000 0.0000 0.0000
Os1 Os 0.5000 0.5000 0.5000
As1 As 0.0000 0.0000 0.0000


# 2
# GGA-PBE BiAsP2, optimized geometry
# DOS(E_F) = 3.48 states/eV per cell
# total moment = 0.000 μB/atom
# E_form = 0.403 eV/atom
# E = -4.434 eV/atom
data_BiAsP2
_space_group_name_H-M_alt 'P 1'
_space_group_IT_number 1
_cell_length_a 6.1937
_cell_length_b 6.1937
_cell_length_c 7.4678
_cell_angle_alpha 65.50
_cell_angle_beta 65.50
_cell_angle_gamma 90.00
loop_
_space_group_symop_operation_xyz
'x,y,z'
loop_
_atom_site_label
_atom_site_type_symbol
_atom_site_fract_x
_atom_site_fract_y
_atom_site_fract_z
P1 P 0.5751 0.1250 0.2500
P2 P 0.3750 0.4249 0.7500
P3 P 0.8750 0.8251 0.7500
P4 P 0.1749 0.6250 0.2500
As1 As 0.2500 0.7500 0.5000
As2 As 0.5000 0.5000 0.0000
Bi1 Bi 0.0000 0.0000 0.0000
Bi2 Bi 0.7500 0.2500 0.5000


# 3
# GGA-PBE BiAsP2, optimized geometry
# DOS(E_F) = 2.63 states/eV per cell
# total moment = 0.000 μB/atom
# E_form = 0.599 eV/atom
# E = -4.238 eV/atom
data_BiAsP2
_space_group_name_H-M_alt 'P 1'
_space_group_IT_number 1
_cell_length_a 4.8562
_cell_length_b 4.8562
_cell_length_c 4.8562
_cell_angle_alpha 60.00
_cell_angle_beta 60.00
_cell_angle_gamma 60.00
loop_
_space_group_symop_operation_xyz
'x,y,z'
loop_
_atom_site_label
_atom_site_type_symbol
_atom_site_fract_x
_atom_site_fract_y
_atom_site_fract_z
P1 P 0.7500 0.7500 0.7500
P2 P 0.2500 0.2500 0.2500
Bi1 Bi 0.5000 0.5000 0.5000
As1 As 0.0000 0.0000 0.0000


# 4
# GGA-PBE BiAsP3, optimized geometry
# DOS(E_F) = 5.44 states/eV per cell
# total moment = 0.000 μB/atom
# E_form = 1.612 eV/atom
# E = -3.340 eV/atom
data_BiAsP3
_space_group_name_H-M_alt 'P 1'
_space_group_IT_number 1
_cell_length_a 5.1917
_cell_length_b 5.1917
_cell_length_c 5.1917
_cell_angle_alpha 90.00
_cell_angle_beta 90.00
_cell_angle_gamma 90.00
loop_
_space_group_symop_operation_xyz
'x,y,z'
loop_
_atom_site_label
_atom_site_type_symbol
_atom_site_fract_x
_atom_site_fract_y
_atom_site_fract_z
P1 P 0.0000 0.5000 0.0000
P2 P 0.0000 0.0000 0.5000
P3 P 0.5000 0.0000 0.0000
Bi1 Bi 0.0000 0.0000 0.0000
As1 As 0.5000 0.5000 0.5000


# 5
# GGA-PBE BiAs3P, optimized geometry
# DOS(E_F) = 5.98 states/eV per cell
# total moment = 0.000 μB/atom
# E_form = 1.561 eV/atom
# E = -3.087 eV/atom
data_BiAs3P
_space_group_name_H-M_alt 'P 1'
_space_group_IT_number 1
_cell_length_a 5.3944
_cell_length_b 5.3944
_cell_length_c 5.3944
_cell_angle_alpha 90.00
_cell_angle_beta 90.00
_cell_angle_gamma 90.00
loop_
_space_group_symop_operation_xyz
'x,y,z'
loop_
_atom_site_label
_atom_site_type_symbol
_atom_site_fract_x
_atom_site_fract_y
_atom_site_fract_z
Bi1 Bi 0.0000 0.0000 0.0000
As1 As 0.0000 0.5000 0.0000
As2 As 0.0000 0.0000 0.5000
As3 As 0.5000 0.0000 0.0000
P1 P 0.5000 0.5000 0.5000


# 6
# GGA-PBE BiAs3P, optimized geometry
# DOS(E_F) = 2.92 states/eV per cell
# total moment = 0.000 μB/atom
# E_form = 0.515 eV/atom
# E = -4.133 eV/atom
data_BiAs3P
_space_group_name_H-M_alt 'P 1'
_space_group_IT_number 1
_cell_length_a 4.8426
_cell_length_b 4.8426
_cell_length_c 4.8426
_cell_angle_alpha 90.00
_cell_angle_beta 90.00
_cell_angle_gamma 90.00
loop_
_space_group_symop_operation_xyz
'x,y,z'
loop_
_atom_site_label
_atom_site_type_symbol
_atom_site_fract_x
_atom_site_fract_y
_atom_site_fract_z
As1 As 0.5000 0.0000 0.0000
As2 As 0.0000 0.0000 0.5000
As3 As 0.0000 0.5000 0.0000
P1 P 0.0000 0.0000 0.0000
Bi1 Bi 0.5000 0.5000 0.5000


# 7
# GGA-PBE Bi3AsP, optimized geometry
# DOS(E_F) = 5.23 states/eV per cell
# total moment = 0.000 μB/atom
# E_form = 0.684 eV/atom
# E = -3.656 eV/atom
data_Bi3AsP
_space_group_name_H-M_alt 'P 1'
_space_group_IT_number 1
_cell_length_a 5.3911
_cell_length_b 5.3911
_cell_length_c 5.3911
_cell_angle_alpha 90.00
_cell_angle_beta 90.00
_cell_angle_gamma 90.00
loop_
_space_group_symop_operation_xyz
'x,y,z'
loop_
_atom_site_label
_atom_site_type_symbol
_atom_site_fract_x
_atom_site_fract_y
_atom_site_fract_z
As1 As 0.5000 0.5000 0.5000
Bi1 Bi 0.5000 0.0000 0.0000
Bi2 Bi 0.0000 0.5000 0.0000
Bi3 Bi 0.0000 0.0000 0.5000
P1 P 0.0000 0.0000 0.0000


# 8
# GGA-PBE BiAsP3, optimized geometry
# DOS(E_F) = 3.07 states/eV per cell
# total moment = 0.000 μB/atom
# E_form = 0.782 eV/atom
# E = -4.170 eV/atom
data_BiAsP3
_space_group_name_H-M_alt 'P 1'
_space_group_IT_number 1
_cell_length_a 4.7613
_cell_length_b 4.7613
_cell_length_c 4.7613
_cell_angle_alpha 90.00
_cell_angle_beta 90.00
_cell_angle_gamma 90.00
loop_
_space_group_symop_operation_xyz
'x,y,z'
loop_
_atom_site_label
_atom_site_type_symbol
_atom_site_fract_x
_atom_site_fract_y
_atom_site_fract_z
Bi1 Bi 0.5000 0.5000 0.5000
As1 As 0.0000 0.0000 0.0000
P1 P 0.0000 0.5000 0.0000
P2 P 0.0000 0.0000 0.5000
P3 P 0.5000 0.0000 0.0000


# 9
# GGA-PBE Pm6BiAs2P3, optimized geometry
# DOS(E_F) = 1.87 states/eV per cell
# total moment = 0.000 μB/atom
# E_form = -1.417 eV/atom
# E = -6.243 eV/atom
data_Pm6BiAs2P3
_space_group_name_H-M_alt 'P 1'
_space_group_IT_number 1
_cell_length_a 4.2224
_cell_length_b 8.5185
_cell_length_c 9.4901
_cell_angle_alpha 103.20
_cell_angle_beta 102.85
_cell_angle_gamma 90.00
loop_
_space_group_symop_operation_xyz
'x,y,z'
loop_
_atom_site_label
_atom_site_type_symbol
_atom_site_fract_x
_atom_site_fract_y
_atom_site_fract_z
P1 P 0.1659 0.8317 0.3318
P2 P 0.5000 0.5000 0.0000
P3 P 0.8341 0.1683 0.6682
Pm1 Pm 0.0013 0.7300 0.0025
Pm2 Pm 0.6665 0.5866 0.3331
Pm3 Pm 0.3254 0.9160 0.6509
Pm4 Pm 0.9987 0.2700 0.9975
Pm5 Pm 0.3335 0.4134 0.6669
Pm6 Pm 0.6746 0.0840 0.3491
Bi1 Bi 0.5000 0.0000 0.0000
As1 As 0.8329 0.6658 0.6659
As2 As 0.1671 0.3342 0.3341


# 10
# GGA-PBE Pm4BiAs2P, optimized geometry
# DOS(E_F) = 0.85 states/eV per cell
# total moment = 0.000 μB/atom
# E_form = -1.338 eV/atom
# E = -6.037 eV/atom
data_Pm4BiAs2P
_space_group_name_H-M_alt 'P 1'
_space_group_IT_number 1
_cell_length_a 4.2874
_cell_length_b 7.4376
_cell_length_c 7.4708
_cell_angle_alpha 70.65
_cell_angle_beta 90.00
_cell_angle_gamma 90.00
loop_
_space_group_symop_operation_xyz
'x,y,z'
loop_
_atom_site_label
_atom_site_type_symbol
_atom_site_fract_x
_atom_site_fract_y
_atom_site_fract_z
Pm1 Pm 0.0000 0.2388 0.2665
Pm2 Pm 0.5000 0.2479 0.7386
Pm3 Pm 0.0000 0.7613 0.7335
Pm4 Pm 0.5000 0.7521 0.2614
As1 As 0.0000 0.0000 0.0000
As2 As 0.5000 0.0000 0.5000
P1 P 0.0000 0.5000 0.5000
Bi1 Bi 0.5000 0.5000 0.0000


# 11
# GGA-PBE Pm4Bi2AsP, optimized geometry
# DOS(E_F) = 1.76 states/eV per cell
# total moment = 0.000 μB/atom
# E_form = -1.211 eV/atom
# E = -5.814 eV/atom
data_Pm4Bi2AsP
_space_group_name_H-M_alt 'P 1'
_space_group_IT_number 1
_cell_length_a 4.3368
_cell_length_b 7.5182
_cell_length_c 7.6913
_cell_angle_alpha 108.95
_cell_angle_beta 90.00
_cell_angle_gamma 90.00
loop_
_space_group_symop_operation_xyz
'x,y,z'
loop_
_atom_site_label
_atom_site_type_symbol
_atom_site_fract_x
_atom_site_fract_y
_atom_site_fract_z
As1 As 0.5000 0.5000 0.0000
Pm1 Pm 0.0000 0.7451 0.2249
Pm2 Pm 0.5000 0.7627 0.7773
Pm3 Pm 0.5000 0.2373 0.2227
Pm4 Pm 0.0000 0.2549 0.7751
P1 P 0.0000 0.0000 0.0000
Bi1 Bi 0.5000 0.0000 0.5000
Bi2 Bi 0.0000 0.5000 0.5000


# 12
# GGA-PBE Pr4Bi2AsP, optimized geometry
# DOS(E_F) = 1.73 states/eV per cell
# total moment = 0.000 μB/atom
# E_form = -1.204 eV/atom
# E = -5.821 eV/atom
data_Pr4Bi2AsP
_space_group_name_H-M_alt 'P 1'
_space_group_IT_number 1
_cell_length_a 4.4098
_cell_length_b 7.7980
_cell_length_c 7.6363
_cell_angle_alpha 70.98
_cell_angle_beta 90.00
_cell_angle_gamma 90.00
loop_
_space_group_symop_operation_xyz
'x,y,z'
loop_
_atom_site_label
_atom_site_type_symbol
_atom_site_fract_x
_atom_site_fract_y
_atom_site_fract_z
Pr1 Pr 0.0000 0.7260 0.7545
Pr2 Pr 0.5000 0.7238 0.2620
Pr3 Pr 0.0000 0.2740 0.2455
Pr4 Pr 0.5000 0.2762 0.7380
As1 As 0.5000 0.5000 0.0000
Bi1 Bi 0.5000 0.0000 0.5000
Bi2 Bi 0.0000 0.0000 0.0000
P1 P 0.0000 0.5000 0.5000


# 13
# GGA-PBE Pr6BiAs2P3, optimized geometry
# DOS(E_F) = 1.91 states/eV per cell
# total moment = 0.000 μB/atom
# E_form = -1.389 eV/atom
# E = -6.230 eV/atom
data_Pr6BiAs2P3
_space_group_name_H-M_alt 'P 1'
_space_group_IT_number 1
_cell_length_a 4.2951
_cell_length_b 8.6551
_cell_length_c 9.6465
_cell_angle_alpha 103.18
_cell_angle_beta 102.86
_cell_angle_gamma 90.00
loop_
_space_group_symop_operation_xyz
'x,y,z'
loop_
_atom_site_label
_atom_site_type_symbol
_atom_site_fract_x
_atom_site_fract_y
_atom_site_fract_z
Pr1 Pr 0.6665 0.5865 0.3329
Pr2 Pr 0.0013 0.7308 0.0026
Pr3 Pr 0.3335 0.4135 0.6671
Pr4 Pr 0.9987 0.2692 0.9974
Pr5 Pr 0.3257 0.9159 0.6515
Pr6 Pr 0.6743 0.0841 0.3485
P1 P 0.1660 0.8318 0.3320
P2 P 0.8340 0.1682 0.6680
P3 P 0.5000 0.5000 0.0000
As1 As 0.8329 0.6657 0.6658
As2 As 0.1671 0.3343 0.3342
Bi1 Bi 0.5000 0.0000 0.0000